Compound: La2Sm2Br7
Source: the Alexandria database
Functional: PBE-GGA
Structure: relaxed

Cell lengths 7.6781, 7.6781, 7.8224 Å; angles 91.01, 91.01, 109.67 degrees
Positions (direct):
1 La 0.1494 0.8506 0.0000
2 La 0.8506 0.1494 0.0000
3 Sm 0.2014 0.2014 0.3576
4 Sm 0.7986 0.7986 0.6424
5 Br 0.0863 0.4895 0.2224
6 Br 0.1292 0.1292 0.7238
7 Br 0.4895 0.0863 0.2224
8 Br 0.5000 0.5000 0.5000
9 Br 0.5105 0.9137 0.7776
10 Br 0.8708 0.8708 0.2762
11 Br 0.9137 0.5105 0.7776

Calculated values
The space group is C2/m, No. 12. As for the uncorrected formation energy: -1.44 eV/atom.



Compound: Sr6MgTl2
Source: the Alexandria database
Functional: PBE-GGA
Structure: relaxed

Cell lengths 10.0949, 10.0949, 10.0949 Å; angles 115.86, 111.98, 100.93 degrees
Positions (direct):
1 Sr 0.0486 0.2416 0.8070
2 Sr 0.1839 0.2919 0.4757
3 Sr 0.1839 0.7081 0.8920
4 Sr 0.3417 0.0303 0.6886
5 Sr 0.3417 0.6531 0.3114
6 Sr 0.4346 0.2416 0.1930
7 Sr 0.5654 0.7584 0.8070
8 Sr 0.6583 0.3469 0.6886
9 Sr 0.6583 0.9697 0.3114
10 Sr 0.8161 0.2919 0.1080
11 Sr 0.8161 0.7081 0.5243
12 Sr 0.9514 0.7584 0.1930
13 Mg 0.0000 0.0000 0.0000
14 Mg 0.5000 0.5000 0.0000
15 Tl 0.1309 0.6309 0.5000
16 Tl 0.3164 0.0000 0.3164
17 Tl 0.6836 0.0000 0.6836
18 Tl 0.8691 0.3691 0.5000

Calculated values
The energy of formation comes out at -189 meV per atom. The space group is Immm, No. 71.



Compound: SmHo2Te
Source: the Alexandria database
Functional: PBE-GGA
Structure: relaxed

Cell lengths 10.9857, 10.9857, 10.9857 Å; angles 19.99, 19.99, 19.99 degrees
Positions (direct):
1 Sm 0.0000 0.0000 0.0000
2 Ho 0.1030 0.1030 0.1030
3 Ho 0.8970 0.8970 0.8970
4 Te 0.5000 0.5000 0.5000

Calculated values
For the offset from the most stable computed form, the calculation gives 434.1 meV per atom. The space group is R-3m, No. 166. As for the uncorrected formation energy: -0.22 eV/atom.